Entry 1:
This record from the Alexandria database describes ErTh2In2Ag2 after structural relaxation. The functional is GGA-PBE.

```
data_ErTh2In2Ag2
_chemical_formula_sum 'Er3 Th6 In6 Ag6'
_cell_length_a 4.8585
_cell_length_b 4.8585
_cell_length_c 26.8276
_cell_angle_alpha 90.00
_cell_angle_beta 90.00
_cell_angle_gamma 120.00
_space_group_name_H-M_alt 'R -3 m'
_space_group_IT_number 166
_space_group_name_Hall '-R 3 2"'
loop_
_atom_site_label
_atom_site_fract_x
_atom_site_fract_y
_atom_site_fract_z
Er1 0.0000 0.0000 0.0000
Th1 0.0000 0.0000 0.1281
In1 0.0000 0.0000 0.2676
Ag1 0.0000 0.0000 0.3922
```

Computed properties:
As for the density of states at the Fermi level: 4.44 states/eV/f.u. For the formation energy from the elements, the calculation gives -0.13 eV/atom. The calculation puts the uncorrected energy at -4.4962 eV per atom.

---

Entry 2:
This record from the Alexandria database describes Er4TlInAg2 after structural relaxation. The functional is GGA-PBE.

```
data_Er4TlInAg2
_chemical_formula_sum 'Er12 Tl3 In3 Ag6'
_cell_length_a 5.2144
_cell_length_b 5.2144
_cell_length_c 25.5131
_cell_angle_alpha 90.00
_cell_angle_beta 90.00
_cell_angle_gamma 120.00
_space_group_name_H-M_alt 'R -3 m'
_space_group_IT_number 166
_space_group_name_Hall '-R 3 2"'
loop_
_atom_site_label
_atom_site_fract_x
_atom_site_fract_y
_atom_site_fract_z
Er1 0.0000 0.0000 0.1251
Er2 0.0000 0.0000 0.3751
Tl1 0.0000 0.0000 0.0000
In1 0.0000 0.0000 0.5000
Ag1 0.0000 0.0000 0.2477
```

Computed properties:
As for the density of states at the Fermi level: 4.61 states/eV/f.u. For the formation energy from the elements, the calculation gives -0.37 eV/atom. The calculation puts the uncorrected energy at -4.0010 eV per atom.